#1
Compound: Ge2PBr2
Source: the Alexandria database
Functional: PBE-GGA
Structure: optimized geometry

Cell and atoms, written as POSCAR:
```
Ge2PBr2
1.0
-5.3068 -1.3651 4.5320
4.7271 -1.8707 4.9718
0.1586 4.4832 1.5360
Ge P Br
4 2 4
direct
0.3308 0.8308 0.0000
0.6692 0.1692 0.0000
0.1692 0.3308 0.0000
0.8308 0.6692 0.0000
0.5000 0.5000 0.0000
0.0000 0.0000 0.0000
0.1864 0.6864 0.5000
0.6864 0.8136 0.5000
0.3136 0.1864 0.5000
0.8136 0.3136 0.5000
```

Values from the calculation:
* calculated volume: 239.8 Å³ per cell
* space-group type: P4/mbm

#2
Compound: Ge2PBr2
Source: the Alexandria database
Functional: PBE-GGA
Structure: optimized geometry

Cell and atoms, written as POSCAR:
```
Ge2PBr2
1.0
-4.1030 -1.3837 -1.4702
1.7117 -4.1498 -0.8716
-2.6177 -4.5366 4.4635
Ge Br P
2 2 1
direct
0.6110 0.6110 0.7781
0.3890 0.3890 0.2219
0.2500 0.7500 0.5000
0.7500 0.2500 0.5000
0.0000 0.0000 0.0000
```

Values from the calculation:
* calculated volume: 127.0 Å³ per cell
* space-group type: I4/mmm

Most stable structure, least stable structure: #1, #2.